An optimized crystal structure of Pm2ZnSi4Rh3. Source: Alexandria via LeMat-Bulk, functional GGA-PBE.

Cell lengths 4.172, 4.172, 9.997 Å; angles 90.00, 90.00, 90.00 degrees
Fractional positions:
Pm (0.500, 0.000, 0.244)
Pm (0.000, 0.500, 0.756)
Zn (0.500, 0.500, 0.500)
Si (0.500, 0.500, 0.000)
Si (0.000, 0.000, 0.000)
Si (0.500, 0.000, 0.639)
Si (0.000, 0.500, 0.361)
Rh (0.000, 0.000, 0.500)
Rh (0.500, 0.000, 0.878)
Rh (0.000, 0.500, 0.122)

E_form (uncorrected) = -0.886 eV/atom
D(E_F) = 6.77 states/eV/f.u.
crystal system = tetragonal
electronic total energy = -63.4 eV per cell
total moment = 0.00 μB per formula unit
symmetry = P-4m2

---

An optimized crystal structure of Pm2ZnSi3Rh4. Source: Alexandria via LeMat-Bulk, functional GGA-PBE.

Cell lengths 4.182, 4.182, 9.932 Å; angles 90.00, 90.00, 90.00 degrees
Fractional positions:
Pm (0.500, 0.000, 0.252)
Pm (0.000, 0.500, 0.748)
Zn (0.500, 0.500, 0.500)
Si (0.000, 0.000, 0.500)
Si (0.500, 0.000, 0.874)
Si (0.000, 0.500, 0.126)
Rh (0.500, 0.500, 0.000)
Rh (0.000, 0.000, 0.000)
Rh (0.500, 0.000, 0.634)
Rh (0.000, 0.500, 0.366)

E_form (uncorrected) = -0.956 eV/atom
D(E_F) = 7.37 states/eV/f.u.
crystal system = tetragonal
electronic total energy = -66.0 eV per cell
total moment = 0.00 μB per formula unit
symmetry = P-4m2

---

An optimized crystal structure of PmZrSi2Rh5. Source: Alexandria via LeMat-Bulk, functional GGA-PBE.

Cell lengths 4.041, 4.041, 10.615 Å; angles 90.00, 90.00, 90.00 degrees
Fractional positions:
Pm (0.000, 0.000, 0.500)
Zr (0.000, 0.000, 0.000)
Si (0.500, 0.500, 0.282)
Si (0.500, 0.500, 0.718)
Rh (0.000, 0.500, 0.172)
Rh (0.500, 0.000, 0.172)
Rh (0.000, 0.500, 0.828)
Rh (0.500, 0.000, 0.828)
Rh (0.500, 0.500, 0.500)

E_form (uncorrected) = -0.597 eV/atom
D(E_F) = 4.27 states/eV/f.u.
crystal system = tetragonal
electronic total energy = -66.3 eV per cell
total moment = 0.00 μB per formula unit
symmetry = P4/mmm

---

An optimized crystal structure of Pm4SmRh2. Source: Alexandria via LeMat-Bulk, functional GGA-PBE.

Cell lengths 4.072, 4.072, 15.212 Å; angles 82.31, 82.31, 60.00 degrees
Fractional positions:
Pm (0.700, 0.700, 0.899)
Pm (0.898, 0.898, 0.307)
Pm (0.300, 0.300, 0.101)
Pm (0.102, 0.102, 0.693)
Sm (0.500, 0.500, 0.500)
Rh (0.599, 0.599, 0.203)
Rh (0.401, 0.401, 0.797)

D(E_F) = 7.16 states/eV/f.u.
formation enthalpy at 0 K = -0.375 eV/atom
crystal system = trigonal
electronic total energy = -41.0 eV per cell
total moment = 0.00 μB per formula unit
E above lowest polymorph = 0.006 eV/atom
symmetry = R-3m

---

> D(E_F) of number 2 (Pm2ZnSi3Rh4)?

7.37 states/eV/f.u.

---

> electronic total energy of number 2 (Pm2ZnSi3Rh4)?

-66.0 eV per cell